Entry 1:
Density functional theory data (PBEsol) for an optimized crystal structure of LaCrBiH2.

Calculated values
As for the total DFT energy (no corrections): -4.417 eV per atom.

a b c (Å): 4.2054 4.2054 6.6941
angles (deg): 90.00 90.00 90.00
Last column: nearest neighbours and their distance in Å.
Space group P4/mmm (No. 123)
Unique sites:
1 La 0.0000 0.0000 0.0000 [1 per cell]  4 Cr 2.97
2 Cr 0.5000 0.5000 0.0000 [1 per cell]  4 La 2.97
3 Bi 0.0000 0.0000 0.5000 [1 per cell]  4 H 2.10
4 H 0.0000 0.5000 0.5000 [2 per cell]  2 Bi 2.10

---

Entry 2:
Density functional theory data (PBEsol) for an optimized crystal structure of FeCu2Mo.

Calculated values
As for the formation energy: 0.92 eV/f.u.

a b c (Å): 2.9513 2.9513 5.6173
angles (deg): 90.00 90.00 90.00
Last column: nearest neighbours and their distance in Å.
Space group P4mm (No. 99)
Unique sites:
1 Fe 0.0000 0.0000 0.0000 [1 per cell]  4 Mo 2.47, 5 Cu 2.52-2.65
2 Cu 0.0000 0.0000 0.5287 [1 per cell]  4 Cu 2.43, 1 Fe 2.65, 4 Mo 2.66
3 Cu 0.5000 0.5000 0.7489 [1 per cell]  4 Cu 2.43, 4 Fe 2.52
4 Mo 0.5000 0.5000 0.2348 [1 per cell]  4 Fe 2.47, 5 Cu 2.66-2.73

---

Entry 3:
Density functional theory data (PBEsol) for an optimized crystal structure of N.

Calculated values
Its uncorrected formation energy is 3.9629 eV/atom.

a b c (Å): 2.3968 2.3968 2.3968
angles (deg): 90.00 90.00 90.00
Last column: nearest neighbours and their distance in Å.
Space group Im-3m (No. 229)
Unique sites:
1 N 0.0000 0.0000 0.0000 [2 per cell]  8 N 2.08

---

Entry 4:
Density functional theory data (PBEsol) for an optimized crystal structure of MgZnCd2.

Calculated values
As for the formation energy: 0.07 eV/f.u.

a b c (Å): 3.1331 3.1331 27.7104
angles (deg): 90.00 90.00 120.00
Last column: nearest neighbours and their distance in Å.
Space group R-3m (No. 166, hexagonal axes)
Unique sites:
1 Mg 0.0000 0.0000 0.0000 [3 per cell]  6 Cd 3.03, 6 Mg 3.13
2 Zn 0.0000 0.0000 0.5000 [3 per cell]  6 Cd 2.84, 6 Zn 3.13
3 Cd 0.0000 0.0000 0.2458 [6 per cell]  3 Zn 2.84, 3 Mg 3.03, 6 Cd 3.13

---

Entry 5:
Density functional theory data (PBEsol) for an optimized crystal structure of K5Ag3.

Calculated values
As for the formation energy: 1.26 eV/f.u.

a b c (Å): 13.5113 13.5113 6.3216
angles (deg): 90.00 90.00 90.00
Last column: nearest neighbours and their distance in Å.
Space group I4/mcm (No. 140)
Unique sites:
1 K 0.0000 0.5000 0.2500 [4 per cell]  2 K 3.16, 4 Ag 3.43
2 K 0.0851 0.2135 0.0000 [16 per cell]  6 Ag 3.48-3.73, 1 K 3.85
3 Ag 0.0000 0.0000 0.2500 [4 per cell]  2 Ag 3.16, 8 K 3.48
4 Ag 0.1594 0.3406 0.5000 [8 per cell]  10 K 3.43-3.73

---

Entry 6:
Density functional theory data (PBEsol) for an optimized crystal structure of Ba2LaSbO6.

Calculated values
Its uncorrected formation energy is -2.6532 eV/atom.

a b c (Å): 6.1339 6.0721 10.5181
angles (deg): 90.00 125.21 90.00
Last column: nearest neighbours and their distance in Å.
Space group P2_1/c (No. 14)
Unique sites:
1 Ba 0.2438 0.0020 0.2480 [4 per cell]  6 O 2.75-3.05
2 La 0.5000 0.0000 0.0000 [2 per cell]  6 O 2.34-2.35
3 Sb 0.0000 0.0000 0.5000 [2 per cell]  6 O 2.01
4 O 0.1947 0.2356 0.4688 [4 per cell]  1 Sb 2.01
5 O 0.1998 0.7302 0.9687 [4 per cell]  1 Sb 2.01
6 O 0.2875 0.0008 0.7297 [4 per cell]  1 Sb 2.01

---

Entry 7:
Density functional theory data (PBEsol) for an optimized crystal structure of Ga3NiPt.

Calculated values
As for the formation energy: 0.43 eV/f.u.

a b c (Å): 4.3912 4.3912 4.3912
angles (deg): 90.00 90.00 90.00
Last column: nearest neighbours and their distance in Å.
Space group Pm-3m (No. 221)
Unique sites:
1 Ga 0.0000 0.0000 0.5000 [3 per cell]  2 Ni 2.20
2 Ni 0.0000 0.0000 0.0000 [1 per cell]  6 Ga 2.20
3 Pt 0.5000 0.5000 0.5000 [1 per cell]  12 Ga 3.11

---

Entry 8:
Density functional theory data (PBEsol) for an optimized crystal structure of La2ReTc.

Calculated values
As for the formation energy: 1.20 eV/f.u.

a b c (Å): 3.1163 4.0507 7.7068
angles (deg): 90.00 95.96 90.00
Last column: nearest neighbours and their distance in Å.
Space group Pm (No. 6)
Unique sites:
1 La 0.0000 0.0000 0.0000 [1 per cell]  1 Tc 2.83, 2 Re 3.02, 2 La 3.12
2 La 0.2605 0.5000 0.5979 [1 per cell]  1 Re 2.84, 2 Tc 3.00, 2 La 3.12
3 Re 0.4544 0.5000 0.2456 [1 per cell]  2 Tc 2.43
4 Tc 0.8260 0.0000 0.3529 [1 per cell]  2 Re 2.43

---

Entry 9:
Density functional theory data (PBEsol) for an optimized crystal structure of AlGaSb2.

Calculated values
Its uncorrected formation energy is -0.1161 eV/atom.

a b c (Å): 4.3413 4.3413 21.2732
angles (deg): 90.00 90.00 120.00
Last column: nearest neighbours and their distance in Å.
Space group R3m (No. 160, hexagonal axes)
Unique sites:
1 Al 0.0000 0.0000 0.0000 [3 per cell]  4 Sb 2.66-2.67
2 Ga 0.0000 0.0000 0.5002 [3 per cell]  4 Sb 2.65-2.66
3 Sb 0.0000 0.0000 0.1256 [3 per cell]  3 Ga 2.66, 1 Al 2.67
4 Sb 0.0000 0.0000 0.6247 [3 per cell]  1 Ga 2.65, 3 Al 2.66

---

Entry 10:
Density functional theory data (PBEsol) for an optimized crystal structure of ScZn2Sb.

Calculated values
Its uncorrected formation energy is -0.0739 eV/atom.

a b c (Å): 6.7703 6.7703 6.7703
angles (deg): 90.00 90.00 90.00
Last column: nearest neighbours and their distance in Å.
Space group F-43m (No. 216)
Unique sites:
1 Sc 0.0000 0.0000 0.0000 [4 per cell]  4 Sb 2.93, 4 Zn 2.93
2 Zn 0.0000 0.0000 0.5000 [4 per cell]  4 Sb 2.93, 4 Zn 2.93
3 Zn 0.2500 0.2500 0.2500 [4 per cell]  4 Sc 2.93, 4 Zn 2.93
4 Sb 0.2500 0.2500 0.7500 [4 per cell]  4 Sc 2.93, 4 Zn 2.93

---

Entry 11:
Density functional theory data (PBEsol) for an optimized crystal structure of AsRh7.

Calculated values
As for the formation energy: -0.71 eV/f.u.

a b c (Å): 7.5722 7.5722 7.5722
angles (deg): 90.00 90.00 90.00
Last column: nearest neighbours and their distance in Å.
Space group Fm-3m (No. 225)
Unique sites:
1 As 0.0000 0.0000 0.0000 [4 per cell]  12 Rh 2.68
2 Rh 0.0000 0.0000 0.5000 [4 per cell]  12 Rh 2.68
3 Rh 0.0000 0.2500 0.2500 [24 per cell]  2 As 2.68, 10 Rh 2.68

---

Entry 12:
Density functional theory data (PBEsol) for an optimized crystal structure of AlFeBr2.

Calculated values
Its uncorrected formation energy is -0.0373 eV/atom.

a b c (Å): 8.9943 3.2322 6.9976
angles (deg): 90.00 110.95 90.00
Last column: nearest neighbours and their distance in Å.
Space group Cm (No. 8)
Unique sites:
1 Al 0.0000 0.0000 0.0000 [2 per cell]  3 Fe 2.57-2.60, 2 Br 2.81
2 Fe 0.2367 0.5000 0.0751 [2 per cell]  4 Br 2.45-2.67, 3 Al 2.57-2.60
3 Br 0.2415 0.0000 0.7743 [2 per cell]  2 Fe 2.67, 2 Al 2.81
4 Br 0.4019 0.0000 0.3245 [2 per cell]  2 Fe 2.45

---

Entry 13:
Density functional theory data (PBEsol) for an optimized crystal structure of MnZnS4.

Calculated values
Its uncorrected formation energy is -0.4954 eV/atom.

a b c (Å): 5.6385 5.6225 5.6148
angles (deg): 90.00 90.36 90.00
Last column: nearest neighbours and their distance in Å.
Space group P2_1/c (No. 14)
Unique sites:
1 Mn 0.0000 0.0000 0.0000 [2 per cell]  6 S 2.23-2.28
2 Zn 0.5000 0.0000 0.5000 [2 per cell]  6 S 2.44-2.53
3 S 0.0878 0.1253 0.6267 [4 per cell]  1 S 2.23, 2 Mn 2.27-2.28
4 S 0.3722 0.5971 0.5962 [4 per cell]  1 S 2.11, 1 Mn 2.23

---

Entry 14:
Density functional theory data (PBEsol) for an optimized crystal structure of LiY3Mg.

Calculated values
As for the formation energy: 3.57 eV/f.u.

a b c (Å): 5.6145 5.6145 5.6145
angles (deg): 90.00 90.00 90.00
Last column: nearest neighbours and their distance in Å.
Space group Pm-3m (No. 221)
Unique sites:
1 Li 0.0000 0.0000 0.0000 [1 per cell]  12 Y 3.97
2 Y 0.0000 0.5000 0.5000 [3 per cell]  2 Mg 2.81
3 Mg 0.5000 0.5000 0.5000 [1 per cell]  6 Y 2.81

---

Entry 15:
Density functional theory data (PBEsol) for an optimized crystal structure of TaAsAu2Se.

Calculated values
Its uncorrected formation energy is 1.1228 eV/atom.

a b c (Å): 4.6996 4.6996 4.9861
angles (deg): 90.00 90.00 90.00
Last column: nearest neighbours and their distance in Å.
Space group P4/mmm (No. 123)
Unique sites:
1 Ta 0.0000 0.0000 0.0000 [1 per cell]  4 Se 3.32, 8 Au 3.43
2 As 0.5000 0.5000 0.5000 [1 per cell]  4 Au 2.35, 2 Se 2.49
3 Au 0.0000 0.5000 0.5000 [2 per cell]  2 As 2.35
4 Se 0.5000 0.5000 0.0000 [1 per cell]  2 As 2.49

---

Entry 16:
Density functional theory data (PBEsol) for an optimized crystal structure of Cr2CoNi.

Calculated values
As for the formation energy: 0.25 eV/f.u.

a b c (Å): 2.4182 2.4182 7.2529
angles (deg): 90.00 90.00 90.00
Last column: nearest neighbours and their distance in Å.
Space group P4mm (No. 99)
Unique sites:
1 Cr 0.0000 0.0000 0.0000 [1 per cell]  4 Co 2.40, 8 Cr 2.42-2.63
2 Cr 0.5000 0.5000 0.2750 [1 per cell]  8 Cr 2.42-2.63, 4 Ni 2.47
3 Co 0.5000 0.5000 0.7680 [1 per cell]  4 Cr 2.40, 4 Co 2.42, 4 Ni 2.48
4 Ni 0.0000 0.0000 0.5201 [1 per cell]  4 Ni 2.42, 4 Cr 2.47, 4 Co 2.48

---

Entry 17:
Density functional theory data (PBEsol) for an optimized crystal structure of TcOs.

Calculated values
As for the formation energy: 1.01 eV/f.u.

a b c (Å): 3.1921 3.1921 5.5995
angles (deg): 90.00 90.00 90.00
Last column: nearest neighbours and their distance in Å.
Space group P4/nmm (No. 129, origin choice 2)
Unique sites:
1 Tc 0.2500 0.2500 0.1262 [2 per cell]  6 Os 2.65-2.80, 4 Tc 2.66
2 Os 0.2500 0.2500 0.6267 [2 per cell]  6 Tc 2.65-2.80, 4 Os 2.67

---

Entry 18:
Density functional theory data (PBEsol) for an optimized crystal structure of TiZn2Ir.

Calculated values
As for the formation energy: -1.49 eV/f.u.

a b c (Å): 6.0369 6.0369 6.0369
angles (deg): 90.00 90.00 90.00
Last column: nearest neighbours and their distance in Å.
Space group Fm-3m (No. 225)
Unique sites:
1 Ti 0.0000 0.0000 0.0000 [4 per cell]  8 Zn 2.61
2 Zn 0.2500 0.2500 0.2500 [8 per cell]  4 Ir 2.61, 4 Ti 2.61
3 Ir 0.0000 0.0000 0.5000 [4 per cell]  8 Zn 2.61

---

Entry 19:
Density functional theory data (PBEsol) for an optimized crystal structure of LaSb3O9.

Calculated values
Its uncorrected formation energy is -1.8616 eV/atom.

a b c (Å): 6.5648 8.8909 11.8033
angles (deg): 90.00 90.00 90.00
Last column: nearest neighbours and their distance in Å.
Space group Cmcm (No. 63)
Unique sites:
1 La 0.0000 0.2438 0.2500 [4 per cell]  7 O 2.41-2.66
2 Sb 0.0000 0.1226 0.5917 [8 per cell]  6 O 1.94-2.03
3 Sb 0.0000 0.5000 0.0000 [4 per cell]  6 O 2.01
4 O 0.0000 0.0550 0.7500 [4 per cell]  2 Sb 1.96
5 O 0.0000 0.1043 0.0750 [8 per cell]  2 Sb 1.97-2.03
6 O 0.0000 0.3381 0.6183 [8 per cell]  2 Sb 1.94-2.01
7 O 0.1945 0.3853 0.0994 [16 per cell]  2 Sb 2.01

---

Entry 20:
Density functional theory data (PBEsol) for an optimized crystal structure of Mg2PBr.

Calculated values
Its uncorrected formation energy is -0.5046 eV/atom.

a b c (Å): 3.8689 6.6002 7.2019
angles (deg): 90.00 90.00 90.00
Last column: nearest neighbours and their distance in Å.
Space group Immm (No. 71)
Unique sites:
1 Mg 0.0000 0.0000 0.2189 [4 per cell]  2 P 2.50
2 P 0.0000 0.5000 0.5000 [2 per cell]  4 Mg 2.50
3 Br 0.0000 0.5000 0.0000 [2 per cell]  4 Mg 2.80

---

Entry 21:
Density functional theory data (PBEsol) for an optimized crystal structure of AlFe3Re.

Calculated values
As for the formation energy: 7.54 eV/f.u.

a b c (Å): 4.3960 4.3960 4.3960
angles (deg): 90.00 90.00 90.00
Last column: nearest neighbours and their distance in Å.
Space group Pm-3m (No. 221)
Unique sites:
1 Al 0.0000 0.0000 0.0000 [1 per cell]  12 Fe 3.11
2 Fe 0.0000 0.5000 0.5000 [3 per cell]  2 Re 2.20
3 Re 0.5000 0.5000 0.5000 [1 per cell]  6 Fe 2.20

---

Entry 22:
Density functional theory data (PBEsol) for an optimized crystal structure of Cr2CuTc.

Calculated values
As for the formation energy: 0.80 eV/f.u.

a b c (Å): 2.9296 4.0438 8.1617
angles (deg): 90.00 90.00 90.00
Last column: nearest neighbours and their distance in Å.
Space group Cmm2 (No. 35)
Unique sites:
1 Cr 0.0000 0.0000 0.0000 [2 per cell]  6 Cr 2.37-2.50, 2 Tc 2.54
2 Cr 0.0000 0.5000 0.2287 [2 per cell]  6 Cr 2.37-2.50, 2 Cu 2.51
3 Cu 0.0000 0.0000 0.4786 [2 per cell]  4 Cu 2.50, 2 Cr 2.51, 2 Tc 2.63
4 Tc 0.0000 0.5000 0.7458 [2 per cell]  4 Tc 2.50, 2 Cr 2.54, 2 Cu 2.63

---

Entry 23:
Density functional theory data (PBEsol) for an optimized crystal structure of K2Ag2Te.

Calculated values
Its uncorrected formation energy is -0.2379 eV/atom.

a b c (Å): 6.4665 6.4665 7.8951
angles (deg): 90.00 90.00 90.00
Last column: nearest neighbours and their distance in Å.
Space group I4/mmm (No. 139)
Unique sites:
1 K 0.0000 0.5000 0.2500 [4 per cell]  4 Ag 3.31
2 Ag 0.0000 0.0000 0.1611 [4 per cell]  1 Ag 2.54, 1 Te 2.68
3 Te 0.0000 0.0000 0.5000 [2 per cell]  2 Ag 2.68

---

Entry 24:
Density functional theory data (PBEsol) for an optimized crystal structure of DyAsPd.

Calculated values
As for the formation energy: -3.73 eV/f.u.

a b c (Å): 6.9367 4.0900 7.8232
angles (deg): 90.00 90.00 90.00
Last column: nearest neighbours and their distance in Å.
Space group Pnma (No. 62)
Unique sites:
1 Dy 0.0281 0.2500 0.1905 [4 per cell]  5 As 2.87-2.95, 3 Pd 3.01-3.05
2 As 0.2480 0.7500 0.3796 [4 per cell]  4 Pd 2.60-2.74, 3 Dy 2.87-2.89
3 Pd 0.1420 0.2500 0.5617 [4 per cell]  4 As 2.60-2.74

---

Entry 25:
Density functional theory data (PBEsol) for an optimized crystal structure of LiYNi.

Calculated values
As for the formation energy: 0.10 eV/f.u.

a b c (Å): 6.2287 6.2287 6.2287
angles (deg): 90.00 90.00 90.00
Last column: nearest neighbours and their distance in Å.
Space group F-43m (No. 216)
Unique sites:
1 Li 0.0000 0.0000 0.0000 [4 per cell]  4 Ni 2.70
2 Y 0.0000 0.0000 0.5000 [4 per cell]  4 Ni 2.70
3 Ni 0.2500 0.2500 0.7500 [4 per cell]  4 Li 2.70, 4 Y 2.70